Computed, not measured: an optimized crystal structure of AlSbRh2 at the PBE level of DFT.

Uncorrected formation energy: -0.492 eV/atom

Cell: 5.664 5.664 5.664 Å, 143.21 141.96 53.95°
Fractional coordinates of all 4 atoms:
Al: 0.000 0.000 0.000
Sb: 0.751 0.251 0.500
Rh: 0.179 0.679 0.500
Rh: 0.441 0.441 0.000